First-principles (GGA-PBE) data for an optimized crystal structure of La2GdOs, as listed in Alexandria.

Unit cell a=3.9964 b=3.9964 c=10.9078 alpha=79.44 beta=79.44 gamma=60.00
With the nearest neighbours (Å) after each atom.
Sites, in units of the cell vectors:
Gd  0.0000  0.0000  0.0000  2 La 3.71, 6 Gd 4.00
Os  0.5000  0.5000  0.5000  6 La 2.82
La  0.1160  0.1160  0.6521  3 Os 2.82
La  0.8840  0.8840  0.3479  3 Os 2.82

Calculated values
ΔE_f   0.258 eV per atom
V   147.45 Å³ per cell
Total moment   8.03 μB per formula unit
Crystal system   trigonal


First-principles (GGA-PBE) data for an optimized crystal structure of ScBeFe, as listed in Alexandria.

Unit cell a=4.1723 b=4.1723 c=4.1723 alpha=60.00 beta=60.00 gamma=60.00
With the nearest neighbours (Å) after each atom.
Sites, in units of the cell vectors:
Sc  0.7500  0.7500  0.7500  4 Be 2.56, 4 Fe 2.56
Be  0.0000  0.0000  0.0000  4 Sc 2.56
Fe  0.5000  0.5000  0.5000  4 Sc 2.56

Calculated values
ΔE_f   1.032 eV per atom
Energy relative to the lowest polymorph listed for this composition   1.2232 eV per atom
V   51.36 Å³ per cell
Total moment   1.14 μB per formula unit
Crystal system   cubic


First-principles (GGA-PBE) data for an optimized crystal structure of ZnAgW2, as listed in Alexandria.

Unit cell a=2.7242 b=2.7242 c=9.1090 alpha=90.00 beta=90.00 gamma=107.74
With the nearest neighbours (Å) after each atom.
Sites, in units of the cell vectors:
Ag  0.5000  0.5000  0.7418  4 Ag 2.72, 2 Zn 2.75, 2 W 2.91
W  0.0000  0.0000  0.0076  6 W 2.72-2.76, 2 Ag 2.91
W  0.5000  0.5000  0.2536  6 W 2.72-2.76, 2 Zn 2.74
Zn  0.0000  0.0000  0.4971  4 Zn 2.72, 2 W 2.74, 2 Ag 2.75

Calculated values
ΔE_f   0.244 eV per atom
V   64.38 Å³ per cell
Total moment   0.00 μB per formula unit
Crystal system   orthorhombic


First-principles (GGA-PBE) data for an optimized crystal structure of ZrCd4Hg, as listed in Alexandria.

Unit cell a=6.1009 b=6.2771 c=8.0978 alpha=111.34 beta=98.92 gamma=105.64
With the nearest neighbours (Å) after each atom.
Sites, in units of the cell vectors:
Zr  0.2344  0.1623  0.4802  2 Hg 2.99-3.13, 9 Cd 3.10-3.25, 1 Zr 3.17
Zr  0.7656  0.8377  0.5198  2 Hg 2.99-3.13, 9 Cd 3.10-3.25, 1 Zr 3.17
Cd  0.7791  0.3321  0.5153  7 Cd 3.05-3.22, 1 Hg 3.09, 4 Zr 3.10-3.25
Cd  0.4317  0.3343  0.1994  8 Cd 3.06-3.33, 2 Hg 3.11-3.21, 2 Zr 3.12-3.13
Cd  0.8941  0.1612  0.1392  8 Cd 3.05-3.33, 3 Hg 3.14-3.32, 1 Zr 3.18
Cd  0.5797  0.1773  0.8155  7 Cd 3.05-3.25, 3 Hg 3.12-3.23, 2 Zr 3.12-3.16
Cd  0.2209  0.6679  0.4847  7 Cd 3.05-3.22, 1 Hg 3.09, 4 Zr 3.10-3.25
Cd  0.5683  0.6657  0.8006  8 Cd 3.06-3.33, 2 Hg 3.11-3.21, 2 Zr 3.12-3.13
Cd  0.1059  0.8388  0.8608  8 Cd 3.05-3.33, 3 Hg 3.14-3.32, 1 Zr 3.18
Cd  0.4203  0.8227  0.1845  7 Cd 3.05-3.25, 3 Hg 3.12-3.23, 2 Zr 3.12-3.16
Hg  0.8816  0.6682  0.1596  2 Zr 2.99-3.13, 9 Cd 3.09-3.32
Hg  0.1184  0.3318  0.8404  2 Zr 2.99-3.13, 9 Cd 3.09-3.32

Calculated values
ΔE_f   -0.023 eV per atom
Energy relative to the lowest polymorph listed for this composition   0.0000 eV per atom
V   266.84 Å³ per cell
Total moment   0.00 μB per formula unit
Crystal system   triclinic


First-principles (GGA-PBE) data for an optimized crystal structure of Zr3Be, as listed in Alexandria.

Unit cell a=5.5550 b=5.5550 c=5.5550 alpha=116.61 beta=116.61 gamma=116.61
With the nearest neighbours (Å) after each atom.
Sites, in units of the cell vectors:
Be  0.0000  0.0000  0.0000  6 Zr 2.92, 2 Be 3.10
Zr  0.5000  0.0000  0.5000  6 Zr 2.92-3.10, 2 Be 2.92
Zr  0.5000  0.5000  0.0000  6 Zr 2.92-3.10, 2 Be 2.92
Zr  0.0000  0.5000  0.5000  2 Be 2.92, 6 Zr 2.92-3.10

Calculated values
ΔE_f   0.246 eV per atom
Energy relative to the lowest polymorph listed for this composition   0.2188 eV per atom
V   80.07 Å³ per cell
Total moment   0.00 μB per formula unit
Crystal system   trigonal


First-principles (GGA-PBE) data for an optimized crystal structure of Sc2TcP, as listed in Alexandria.

Unit cell a=7.1195 b=7.1195 c=5.7848 alpha=52.02 beta=52.02 gamma=90.00
With the nearest neighbours (Å) after each atom.
Sites, in units of the cell vectors:
Sc  0.6218  0.1250  0.2500  2 P 2.60, 2 Tc 2.63, 2 Sc 2.85
Sc  0.1282  0.6250  0.2500  2 P 2.60, 2 Tc 2.63, 2 Sc 2.85
Sc  0.3750  0.3782  0.7500  2 P 2.60, 2 Tc 2.63, 2 Sc 2.85
Sc  0.8750  0.8718  0.7500  2 P 2.60, 2 Tc 2.63, 2 Sc 2.85
P  0.5000  0.5000  0.0000  4 Sc 2.60, 2 Tc 2.85
P  0.2500  0.7500  0.5000  4 Sc 2.60, 2 Tc 2.85
Tc  0.0000  0.0000  0.0000  4 Sc 2.63, 2 P 2.85
Tc  0.7500  0.2500  0.5000  4 Sc 2.63, 2 P 2.85

Calculated values
ΔE_f   -0.101 eV per atom
V   144.44 Å³ per cell
Total moment   0.00 μB per formula unit
Crystal system   tetragonal


First-principles (GGA-PBE) data for an optimized crystal structure of Y2MgHRh, as listed in Alexandria.

Unit cell a=5.1084 b=5.1084 c=3.6388 alpha=90.00 beta=90.00 gamma=90.00
With the nearest neighbours (Å) after each atom.
Sites, in units of the cell vectors:
Y  0.0000  0.5000  0.0000  2 H 2.55
Y  0.5000  0.0000  0.0000  2 H 2.55
H  0.0000  0.0000  0.0000  2 Rh 1.82
Mg  0.5000  0.5000  0.5000  8 Y 3.14
Rh  0.0000  0.0000  0.5000  2 H 1.82

Calculated values
Energy relative to the lowest polymorph listed for this composition   0.0000 eV per atom
V   94.96 Å³ per cell
Total moment   0.00 μB per formula unit
Crystal system   tetragonal


First-principles (GGA-PBE) data for an optimized crystal structure of La3HPt8, as listed in Alexandria.

Unit cell a=5.5173 b=5.5173 c=9.5657 alpha=73.24 beta=73.24 gamma=60.00
With the nearest neighbours (Å) after each atom.
Sites, in units of the cell vectors:
La  0.6163  0.6163  0.1511  12 Pt 3.19-3.27, 3 La 3.57
La  0.0092  0.0092  0.9725  9 Pt 3.03-3.33
La  0.4840  0.4840  0.5480  12 Pt 3.04-3.39, 3 H 3.37
H  0.1918  0.1918  0.4245  3 Pt 1.84
Pt  0.5578  0.0510  0.8334  6 Pt 2.72-2.80, 3 La 3.03-3.04
Pt  0.0525  0.5655  0.3296  1 H 1.84
Pt  0.5578  0.5578  0.8334  6 Pt 2.72-2.80, 3 La 3.03-3.04
Pt  0.0525  0.0525  0.3296  1 H 1.84
Pt  0.8053  0.8053  0.5841  6 Pt 2.74-2.77
Pt  0.3064  0.3064  0.0809  6 Pt 2.75-2.77
Pt  0.0510  0.5578  0.8334  6 Pt 2.72-2.80, 3 La 3.03-3.04
Pt  0.5655  0.0525  0.3296  1 H 1.84

Calculated values
V   237.78 Å³ per cell
Total moment   0.00 μB per formula unit
VASP energy   -6.4590 eV/atom
Crystal system   trigonal


First-principles (GGA-PBE) data for an optimized crystal structure of ScTi3Sn2, as listed in Alexandria.

Unit cell a=4.3259 b=8.9636 c=7.6356 alpha=120.14 beta=90.00 gamma=103.96
With the nearest neighbours (Å) after each atom.
Sites, in units of the cell vectors:
Sc  0.8857  0.7715  0.9421  6 Sn 3.00-3.22, 1 Ti 3.21
Sc  0.1143  0.2285  0.0579  6 Sn 3.00-3.22, 1 Ti 3.21
Ti  0.2997  0.5994  0.4899  5 Ti 2.68-2.98, 3 Sn 2.74-2.94
Ti  0.9279  0.8557  0.5444  3 Sn 2.71-2.83, 5 Ti 2.79-2.98
Ti  0.6171  0.2342  0.7229  3 Ti 2.68-2.79, 3 Sn 2.75-2.94
Ti  0.3829  0.7658  0.2771  3 Ti 2.68-2.79, 3 Sn 2.75-2.94
Ti  0.0721  0.1443  0.4556  3 Sn 2.71-2.83, 5 Ti 2.79-2.98
Ti  0.7003  0.4006  0.5101  5 Ti 2.68-2.98, 3 Sn 2.74-2.94
Sn  0.4772  0.9545  0.7931  4 Ti 2.71-2.75, 1 Sn 2.83
Sn  0.5228  0.0455  0.2069  4 Ti 2.71-2.75, 1 Sn 2.83
Sn  0.7533  0.5065  0.1904  7 Ti 2.83-3.10, 2 Sc 3.00
Sn  0.2467  0.4935  0.8096  7 Ti 2.83-3.10, 2 Sc 3.00

Calculated values
ΔE_f   -0.275 eV per atom
V   245.87 Å³ per cell
Total moment   0.17 μB per formula unit
Crystal system   monoclinic


First-principles (GGA-PBE) data for an optimized crystal structure of TaHgBr2, as listed in Alexandria.

Unit cell a=3.5148 b=3.5148 c=11.4909 alpha=90.00 beta=90.00 gamma=126.17
With the nearest neighbours (Å) after each atom.
Sites, in units of the cell vectors:
Hg  0.5000  0.5000  0.2500  6 Hg 3.18-3.51
Br  0.0000  0.0000  0.9318  2 Ta 2.63
Br  0.0000  0.0000  0.5682  2 Ta 2.63
Ta  0.5000  0.5000  0.7500  4 Br 2.63

Calculated values
Energy relative to the lowest polymorph listed for this composition   0.1792 eV per atom
V   114.60 Å³ per cell
Total moment   0.00 μB per formula unit
Formation energy without anion corrections   -0.09 eV per atom
Crystal system   orthorhombic


First-principles (GGA-PBE) data for an optimized crystal structure of KScPb2, as listed in Alexandria.

Unit cell a=6.4268 b=6.4268 c=5.8901 alpha=73.59 beta=73.59 gamma=30.98
With the nearest neighbours (Å) after each atom.
Sites, in units of the cell vectors:
K  0.2669  0.2669  0.1710  7 Pb 3.33-3.51, 2 K 3.43, 1 Sc 3.65
Pb  0.0191  0.0191  0.0572  3 K 3.33-3.45, 4 Sc 3.36-3.51, 4 Pb 3.38-3.43
Pb  0.7317  0.7317  0.6769  3 Sc 3.26-3.46, 4 K 3.35-3.51, 4 Pb 3.38-3.43
Sc  0.4823  0.4823  0.5949  7 Pb 3.26-3.51, 2 Sc 3.43, 1 K 3.65

Calculated values
ΔE_f   -0.016 eV per atom
Energy relative to the lowest polymorph listed for this composition   0.2681 eV per atom
V   119.72 Å³ per cell
Total moment   0.31 μB per formula unit
Crystal system   monoclinic


First-principles (GGA-PBE) data for an optimized crystal structure of NbS2ClO, as listed in Alexandria.

Unit cell a=4.7701 b=4.7701 c=4.9316 alpha=90.00 beta=90.00 gamma=90.00
With the nearest neighbours (Å) after each atom.
Sites, in units of the cell vectors:
Nb  0.0000  0.0000  0.0000  4 S 2.39, 2 Cl 2.47
S  0.0000  0.5000  0.0000  2 Nb 2.39
S  0.5000  0.0000  0.0000  2 Nb 2.39
O  0.5000  0.5000  0.5000  4 Cl 3.37, 8 S 3.43
Cl  0.0000  0.0000  0.5000  2 Nb 2.47

Calculated values
Energy relative to the lowest polymorph listed for this composition   0.0000 eV per atom
V   112.21 Å³ per cell
Total moment   1.94 μB per formula unit
Formation energy without anion corrections   0.08 eV per atom
Crystal system   tetragonal


- Among the records above, which one has the highest total moment?
  La2GdOs


- Which value of total moment does entry 10 give?
  0.00 μB per formula unit


- Look up the V of the third one.
  64.38 Å³ per cell


- Which formula does entry 8 have?
  La3HPt8